Record 1
Computed, not measured: a geometry-optimized La6Al2Ga structure at the GGA-PBE level of DFT.

Computed properties:
ρ in g/cm³: 5.57
Energy above the lowest structure with this stoichiometry in meV per atom: 0
Space-group type: Immm
DFT formation energy in eV/atom: -0.260

Lattice parameters (Å, degrees): 9.0518 9.0518 9.0518 107.21 110.78 110.45
Fractional positions:
La 0.1964 0.2554 0.4518
La 0.2819 0.9533 0.6715
La 0.5608 0.7361 0.8247
La 0.0886 0.2639 0.8247
La 0.7181 0.3896 0.6715
La 0.1964 0.7446 0.9410
La 0.7181 0.0467 0.3285
La 0.8036 0.7446 0.5482
La 0.2819 0.6104 0.3285
La 0.9114 0.7361 0.1753
La 0.4392 0.2639 0.1753
La 0.8036 0.2554 0.0590
Al 0.5000 0.3772 0.8772
Al 0.3628 0.0000 0.3628
Al 0.5000 0.6228 0.1228
Al 0.6372 0.0000 0.6372
Ga 0.0000 0.0000 0.0000
Ga 0.0000 0.5000 0.5000

Record 2
Computed, not measured: a geometry-optimized La6AlGa2 structure at the GGA-PBE level of DFT.

Computed properties:
ρ in g/cm³: 4.95
Energy above the lowest structure with this stoichiometry in meV per atom: 278
Space-group type: P4_2/mnm
DFT formation energy in eV/atom: -0.058

Lattice parameters (Å, degrees): 7.7560 7.7560 11.1534 90.00 90.00 90.00
Fractional positions:
Ga 0.5000 0.5000 0.1832
Ga 0.5000 0.5000 0.8168
Ga 0.0000 0.0000 0.3168
Ga 0.0000 0.0000 0.6832
Al 0.5000 0.5000 0.5000
Al 0.0000 0.0000 0.0000
La 0.7138 0.7138 0.0000
La 0.2759 0.2759 0.3348
La 0.2759 0.2759 0.6652
La 0.2862 0.2862 0.0000
La 0.7241 0.7241 0.6652
La 0.7759 0.2241 0.8348
La 0.2241 0.7759 0.1652
La 0.7862 0.2138 0.5000
La 0.2241 0.7759 0.8348
La 0.7241 0.7241 0.3348
La 0.2138 0.7862 0.5000
La 0.7759 0.2241 0.1652

Record 3
Computed, not measured: a geometry-optimized La3Al3Ga structure at the GGA-PBE level of DFT.

Computed properties:
ρ in g/cm³: 5.06
Space-group type: C2/m
DFT formation energy in eV/atom: -0.449

Lattice parameters (Å, degrees): 4.6042 6.1533 14.3615 86.46 80.78 68.03
Fractional positions:
Ga 0.7703 0.0685 0.3908
Ga 0.2297 0.9315 0.6092
La 0.4811 0.6563 0.3814
La 0.5189 0.3437 0.6186
La 0.6147 0.7022 0.0683
La 0.7374 0.7562 0.7690
La 0.3853 0.2978 0.9317
La 0.2626 0.2438 0.2310
Al 0.0987 0.8835 0.9191
Al 0.8556 0.7496 0.5391
Al 0.9013 0.1165 0.0809
Al 0.0256 0.1773 0.7714
Al 0.1444 0.2504 0.4609
Al 0.9744 0.8227 0.2286

Record 4
Computed, not measured: a geometry-optimized La2AlGa structure at the GGA-PBE level of DFT.

Computed properties:
ρ in g/cm³: 5.16
Space-group type: R-3m
DFT formation energy in eV/atom: -0.206

Lattice parameters (Å, degrees): 3.8687 3.8687 9.5572 78.32 78.32 60.00
Fractional positions:
La 0.7488 0.7488 0.7535
La 0.2512 0.2512 0.2465
Ga 0.0000 0.0000 0.0000
Al 0.5000 0.5000 0.5000

Record 5
Computed, not measured: a geometry-optimized La3Al2Ga3 structure at the GGA-PBE level of DFT.

Computed properties:
ρ in g/cm³: 5.52
Energy above the lowest structure with this stoichiometry in meV per atom: 14
Space-group type: Cmcm
DFT formation energy in eV/atom: -0.568

Lattice parameters (Å, degrees): 4.3759 6.2374 16.0152 90.00 90.00 110.53
Fractional positions:
La 0.8544 0.7088 0.0949
La 0.4493 0.8987 0.7500
La 0.5507 0.1013 0.2500
La 0.1456 0.2912 0.5949
La 0.8544 0.7088 0.4051
La 0.1456 0.2912 0.9051
Al 0.1475 0.2951 0.1168
Al 0.8525 0.7049 0.8832
Al 0.1475 0.2951 0.3832
Al 0.8525 0.7049 0.6168
Ga 0.7206 0.4412 0.7500
Ga 0.5805 0.1609 0.0509
Ga 0.2794 0.5588 0.2500
Ga 0.4195 0.8391 0.5509
Ga 0.5805 0.1609 0.4491
Ga 0.4195 0.8391 0.9491

Record 6
Computed, not measured: a geometry-optimized LaAl3Ga3 structure at the GGA-PBE level of DFT.

Computed properties:
ρ in g/cm³: 4.17
Energy above the lowest structure with this stoichiometry in meV per atom: 285
Space-group type: Pm-3n
DFT formation energy in eV/atom: 0.067

Lattice parameters (Å, degrees): 6.9910 6.9910 6.9910 90.00 90.00 90.00
Fractional positions:
Al 0.2500 0.5000 0.0000
Al 0.5000 0.0000 0.2500
Al 0.7500 0.5000 0.0000
Al 0.5000 0.0000 0.7500
Al 0.0000 0.7500 0.5000
Al 0.0000 0.2500 0.5000
Ga 0.0000 0.5000 0.2500
Ga 0.5000 0.2500 0.0000
Ga 0.7500 0.0000 0.5000
Ga 0.2500 0.0000 0.5000
Ga 0.0000 0.5000 0.7500
Ga 0.5000 0.7500 0.0000
La 0.5000 0.5000 0.5000
La 0.0000 0.0000 0.0000

Record 7
Computed, not measured: a geometry-optimized La2AlGa7 structure at the GGA-PBE level of DFT.

Computed properties:
ρ in g/cm³: 6.34
Space-group type: P-4m2
DFT formation energy in eV/atom: -0.485

Lattice parameters (Å, degrees): 4.3517 4.3517 10.9695 90.00 90.00 90.00
Fractional positions:
Ga 0.0000 0.5000 0.6336
Ga 0.0000 0.5000 0.8644
Ga 0.0000 0.0000 0.0000
Ga 0.5000 0.0000 0.1356
Ga 0.5000 0.5000 0.5000
Ga 0.0000 0.0000 0.5000
Ga 0.5000 0.0000 0.3664
Al 0.5000 0.5000 0.0000
La 0.5000 0.0000 0.7480
La 0.0000 0.5000 0.2520

Record 8
Computed, not measured: a geometry-optimized LaAlGa2 structure at the GGA-PBE level of DFT.

Computed properties:
ρ in g/cm³: 5.64
Space-group type: R-3m
DFT formation energy in eV/atom: -0.496

Lattice parameters (Å, degrees): 4.3795 4.3795 5.9717 68.49 68.49 60.00
Fractional positions:
Ga 0.7191 0.7191 0.8427
Ga 0.2809 0.2809 0.1573
Al 0.0000 0.0000 0.0000
La 0.5000 0.5000 0.5000

Record 9
Computed, not measured: a geometry-optimized La3AlGa2 structure at the GGA-PBE level of DFT.

Computed properties:
ρ in g/cm³: 5.92
Energy above the lowest structure with this stoichiometry in meV per atom: 67
Space-group type: P2_1/c
DFT formation energy in eV/atom: -0.432

Lattice parameters (Å, degrees): 9.4488 9.9727 8.5169 90.00 125.38 90.00
Fractional positions:
Ga 0.8328 0.3440 0.2323
Ga 0.8609 0.8201 0.9332
Ga 0.3328 0.1560 0.7323
Ga 0.1672 0.6560 0.7677
Ga 0.1391 0.1799 0.0668
Ga 0.6672 0.8440 0.2677
Ga 0.6391 0.3201 0.5668
Ga 0.3609 0.6799 0.4332
Al 0.0933 0.6063 0.0316
Al 0.4067 0.1063 0.4684
Al 0.9067 0.3937 0.9684
Al 0.5933 0.8937 0.5316
La 0.0446 0.3440 0.6957
La 0.5446 0.1560 0.1957
La 0.9778 0.9737 0.6634
La 0.9554 0.6560 0.3043
La 0.2418 0.3828 0.3908
La 0.5222 0.4737 0.8366
La 0.7582 0.6172 0.6092
La 0.2582 0.8828 0.1092
La 0.0222 0.0263 0.3366
La 0.4554 0.8440 0.8043
La 0.4778 0.5263 0.1634
La 0.7418 0.1172 0.8908

Record 10
Computed, not measured: a geometry-optimized La3Al2Ga3 structure at the GGA-PBE level of DFT.

Computed properties:
ρ in g/cm³: 5.74
Energy above the lowest structure with this stoichiometry in meV per atom: 0
Space-group type: Cmcm
DFT formation energy in eV/atom: -0.582

Lattice parameters (Å, degrees): 4.4683 6.2448 15.0838 90.00 90.00 110.96
Last column: magnetic moment on the atom in μB.
Fractional positions:
Al 0.7758 0.5515 0.8996  0.00
Al 0.2242 0.4485 0.3996  0.00
Al 0.2242 0.4485 0.1004  0.00
Al 0.7758 0.5515 0.6004  0.00
La 0.0708 0.1415 0.6080  0.04
La 0.3602 0.7203 0.7500  0.06
La 0.9292 0.8585 0.3920  0.04
La 0.6398 0.2797 0.2500  0.06
La 0.0708 0.1415 0.8920  0.04
La 0.9292 0.8585 0.1080  0.04
Ga 0.6302 0.2604 0.4601  0.00
Ga 0.3698 0.7396 0.5399  0.00
Ga 0.6481 0.2961 0.7500  0.01
Ga 0.6302 0.2604 0.0399  0.00
Ga 0.3698 0.7396 0.9601  0.00
Ga 0.3519 0.7039 0.2500  0.01

Record 11
Computed, not measured: a geometry-optimized La2AlGa5 structure at the GGA-PBE level of DFT.

Computed properties:
ρ in g/cm³: 5.85
Space-group type: I4mm
DFT formation energy in eV/atom: -0.459

Lattice parameters (Å, degrees): 6.3968 6.3968 6.3968 90.24 119.86 119.86
Fractional positions:
Ga 0.5916 0.2917 0.2917
Ga 0.0000 0.2917 0.7000
Ga 0.4084 0.7000 0.7000
Ga 0.0000 0.2710 0.2710
Ga 0.0000 0.7000 0.2917
La 0.5000 0.7470 0.2470
La 0.5000 0.2470 0.7470
Al 0.0000 0.9736 0.9736

Record 12
Computed, not measured: a geometry-optimized LiLaAlGa structure at the GGA-PBE level of DFT.

Computed properties:
ρ in g/cm³: 4.48
Space-group type: F-43m
DFT formation energy in eV/atom: -0.316

Lattice parameters (Å, degrees): 5.0294 5.0294 5.0294 60.00 60.00 60.00
Fractional positions:
La 0.7500 0.7500 0.7500
Ga 0.5000 0.5000 0.5000
Li 0.2500 0.2500 0.2500
Al 0.0000 0.0000 0.0000

Record 13
Computed, not measured: a geometry-optimized LiLaAlGa2 structure at the GGA-PBE level of DFT.

Computed properties:
ρ in g/cm³: 5.05
Space-group type: I-4m2
DFT formation energy in eV/atom: -0.525

Lattice parameters (Å, degrees): 4.3213 4.3213 6.2862 110.10 110.10 90.00
Fractional positions:
La 0.0000 0.0000 0.0000
Ga 0.3849 0.3849 0.7698
Ga 0.6151 0.6151 0.2302
Al 0.7500 0.2500 0.5000
Li 0.2500 0.7500 0.5000

Record 14
Computed, not measured: a geometry-optimized LiLaAl2Ga4 structure at the GGA-PBE level of DFT.

Computed properties:
ρ in g/cm³: 5.14
Space-group type: R-3m
DFT formation energy in eV/atom: -0.300

Lattice parameters (Å, degrees): 4.5431 4.5431 9.0445 75.45 75.45 60.00
Fractional positions:
Al 0.7600 0.7600 0.7199
Al 0.2400 0.2400 0.2801
Ga 0.3995 0.3995 0.8016
Ga 0.1318 0.1318 0.6047
Ga 0.6005 0.6005 0.1984
Ga 0.8682 0.8682 0.3953
Li 0.5000 0.5000 0.5000
La 0.0000 0.0000 0.0000

Record 15
Computed, not measured: a geometry-optimized LiLa2Al3Ga4 structure at the GGA-PBE level of DFT.

Computed properties:
ρ in g/cm³: 5.16
Space-group type: P-4m2
DFT formation energy in eV/atom: -0.491

Lattice parameters (Å, degrees): 4.3949 4.3949 10.7303 90.00 90.00 90.00
Fractional positions:
Li 0.5000 0.5000 0.5000
Ga 0.5000 0.5000 0.0000
Ga 0.0000 0.0000 0.0000
Ga 0.5000 0.0000 0.6337
Ga 0.0000 0.5000 0.3663
Al 0.0000 0.5000 0.1335
Al 0.0000 0.0000 0.5000
Al 0.5000 0.0000 0.8665
La 0.0000 0.5000 0.7553
La 0.5000 0.0000 0.2447

Record 16
Computed, not measured: a geometry-optimized LaLuAlGa structure at the GGA-PBE level of DFT.

Computed properties:
ρ in g/cm³: 6.99
Space-group type: F-43m
DFT formation energy in eV/atom: -0.454

Lattice parameters (Å, degrees): 5.1676 5.1676 5.1676 60.00 60.00 60.00
Fractional positions:
Lu 0.5000 0.5000 0.5000
Al 0.2500 0.2500 0.2500
Ga 0.7500 0.7500 0.7500
La 0.0000 0.0000 0.0000

Record 17
Computed, not measured: a geometry-optimized LaMgAlGa structure at the GGA-PBE level of DFT.

Computed properties:
ρ in g/cm³: 4.67
Space-group type: F-43m
DFT formation energy in eV/atom: -0.319

Lattice parameters (Å, degrees): 5.0732 5.0732 5.0732 60.00 60.00 60.00
Fractional positions:
Al 0.7500 0.7500 0.7500
Ga 0.2500 0.2500 0.2500
La 0.5000 0.5000 0.5000
Mg 0.0000 0.0000 0.0000

Record 18
Computed, not measured: a geometry-optimized LaMgAl2Ga4 structure at the GGA-PBE level of DFT.

Computed properties:
ρ in g/cm³: 5.08
Space-group type: R-3m
DFT formation energy in eV/atom: -0.229

Lattice parameters (Å, degrees): 4.6561 4.6561 9.0383 75.07 75.07 60.00
Fractional positions:
La 0.0000 0.0000 0.0000
Ga 0.8712 0.8712 0.3863
Ga 0.6043 0.6043 0.1870
Ga 0.3957 0.3957 0.8130
Ga 0.1288 0.1288 0.6137
Al 0.2424 0.2424 0.2728
Al 0.7576 0.7576 0.7272
Mg 0.5000 0.5000 0.5000

Record 19
Computed, not measured: a geometry-optimized LaMnAl2Ga structure at the GGA-PBE level of DFT.

Computed properties:
ρ in g/cm³: 5.31
Space-group type: P4/mmm
DFT formation energy in eV/atom: -0.374

Lattice parameters (Å, degrees): 4.6169 4.6169 4.6600 90.00 90.00 90.00
Fractional positions:
Al 0.0000 0.5000 0.0000
Al 0.5000 0.0000 0.0000
La 0.5000 0.5000 0.5000
Mn 0.0000 0.0000 0.0000
Ga 0.0000 0.0000 0.5000

Record 20
Computed, not measured: a geometry-optimized LaNdAlGa structure at the GGA-PBE level of DFT.

Computed properties:
ρ in g/cm³: 5.96
Energy above the lowest structure with this stoichiometry in meV per atom: 28
Space-group type: F-43m
DFT formation energy in eV/atom: -0.448

Lattice parameters (Å, degrees): 5.3088 5.3088 5.3088 60.00 60.00 60.00
Fractional positions:
La 0.5000 0.5000 0.5000
Nd 0.0000 0.0000 0.0000
Ga 0.2500 0.2500 0.2500
Al 0.7500 0.7500 0.7500